# La3CdIn2 PBE relaxed
data_La3CdIn2
_cell_length_a 3.890
_cell_length_b 3.890
_cell_length_c 12.226
_cell_angle_alpha 90.00
_cell_angle_beta 90.00
_cell_angle_gamma 90.00
_space_group_name_H-M_alt 'P 4/m m m'
_space_group_IT_number 123
_space_group_name_Hall '-P 4 2'
loop_
_atom_site_label
_atom_site_fract_x
_atom_site_fract_y
_atom_site_fract_z
La1 0.000 0.000 0.000
La2 0.000 0.000 0.335
Cd1 0.500 0.500 0.500
In1 0.500 0.500 0.171
# N(E_F): 6.91 states/eV/f.u.
# ΔE to the lowest computed polymorph: 0.02 eV per formula unit
# Density: 6.81 g/cm³
# Total magnetic moment: 0.00 Bohr magnetons per cell
# ΔH_f (0 K): -0.4531 eV per atom
# Final energy: -3.9821 eV per atom

---

# LaCdIn3 PBE relaxed
data_LaCdIn3
_cell_length_a 4.689
_cell_length_b 7.573
_cell_length_c 7.838
_cell_angle_alpha 90.00
_cell_angle_beta 90.00
_cell_angle_gamma 90.00
_space_group_name_H-M_alt 'P m m n'
_space_group_IT_number 59
loop_
_space_group_symop_operation_xyz
'x,y,z'
'-x,-y,-z'
'-x+1/2,-y+1/2,z'
'x+1/2,y+1/2,-z'
'x+1/2,-y,-z'
'-x+1/2,y,z'
'-x,y+1/2,-z'
'x,-y+1/2,z'
loop_
_atom_site_label
_atom_site_fract_x
_atom_site_fract_y
_atom_site_fract_z
La1 0.250 0.250 0.184
Cd1 0.250 0.750 0.483
In1 0.250 0.053 0.716
In2 0.250 0.750 0.103
# N(E_F): 1.38 states/eV/f.u.
# ΔE to the lowest computed polymorph: 0.00 eV per formula unit
# Density: 7.11 g/cm³
# Total magnetic moment: 0.00 Bohr magnetons per cell
# ΔH_f (0 K): -0.2670 eV per atom
# Final energy: -3.0785 eV per atom

---

# La3Cd4In4 PBE relaxed
data_La3Cd4In4
_cell_length_a 4.864
_cell_length_b 7.662
_cell_length_c 16.159
_cell_angle_alpha 90.00
_cell_angle_beta 90.00
_cell_angle_gamma 90.00
_space_group_name_H-M_alt 'I m m m'
_space_group_IT_number 71
_space_group_name_Hall '-I 2 2'
loop_
_atom_site_label
_atom_site_fract_x
_atom_site_fract_y
_atom_site_fract_z
La1 0.000 0.000 0.000
La2 0.000 0.500 0.126
Cd1 0.000 0.308 0.334
In1 0.000 0.000 0.219
In2 0.000 0.188 0.500
# N(E_F): 5.81 states/eV/f.u.
# ΔE to the lowest computed polymorph: 0.00 eV per formula unit
# Density: 7.31 g/cm³
# Total magnetic moment: 0.00 Bohr magnetons per cell
# ΔH_f (0 K): -0.4235 eV per atom
# Final energy: -3.0959 eV per atom

---

# La5Cd4In PBE relaxed
data_La5Cd4In
_cell_length_a 3.929
_cell_length_b 3.929
_cell_length_c 19.830
_cell_angle_alpha 90.00
_cell_angle_beta 90.00
_cell_angle_gamma 90.00
_space_group_name_H-M_alt 'P 4/m m m'
_space_group_IT_number 123
_space_group_name_Hall '-P 4 2'
loop_
_atom_site_label
_atom_site_fract_x
_atom_site_fract_y
_atom_site_fract_z
La1 0.000 0.000 0.000
La2 0.000 0.000 0.199
La3 0.000 0.000 0.400
Cd1 0.500 0.500 0.100
Cd2 0.500 0.500 0.299
In1 0.500 0.500 0.500
# N(E_F): 13.60 states/eV/f.u.
# Density: 6.83 g/cm³
# Total magnetic moment: 1.06 Bohr magnetons per cell
# ΔH_f (0 K): -0.3644 eV per atom
# Final energy: -3.4680 eV per atom